Record 1
CdGeSO (PBE-GGA, optimized geometry); SG = No. 29; E_tot = -4.425 eV per atom
1.0
7.929 0.000 0.000
0.000 7.428 0.000
0.000 0.000 5.576
Cd Ge S O
4 4 4 4
direct
0.091 0.145 0.000 Cd
0.409 0.145 0.500 Cd
0.591 0.855 0.000 Cd
0.909 0.855 0.500 Cd
0.110 0.604 0.904 Ge
0.390 0.604 0.404 Ge
0.610 0.396 0.904 Ge
0.890 0.396 0.404 Ge
0.083 0.143 0.533 S
0.417 0.143 0.033 S
0.583 0.857 0.533 S
0.917 0.857 0.033 S
0.020 0.426 0.108 O
0.480 0.426 0.608 O
0.520 0.574 0.108 O
0.980 0.574 0.608 O

Record 2
PmErI2O2 (PBE-GGA, optimized geometry); SG = No. 99; E_tot = -6.418 eV per atom; M_tot = 0.0 μB per cell
1.0
3.966 0.000 0.000
0.000 3.966 0.000
0.000 0.000 9.266
Pm Er I O
1 1 2 2
direct
0.000 0.000 0.000 Pm
0.500 0.500 0.241 Er
0.000 0.000 0.445 I
0.500 0.500 0.794 I
0.000 0.500 0.128 O
0.500 0.000 0.128 O

What did the second record say?
PmErI2O2 (PBE-GGA, optimized geometry); SG = No. 99; E_tot = -6.418 eV per atom; M_tot = 0.0 μB per cell
1.0
3.966 0.000 0.000
0.000 3.966 0.000
0.000 0.000 9.266
Pm Er I O
1 1 2 2
direct
0.000 0.000 0.000 Pm
0.500 0.500 0.241 Er
0.000 0.000 0.445 I
0.500 0.500 0.794 I
0.000 0.500 0.128 O
0.500 0.000 0.128 O

> Among the records above, which one has the highest E_tot?

CdGeSO

> Which of these has the lowest E_tot?

PmErI2O2